# 1
Li4TaMo: optimized geometry, PBE.

The crystal system is cubic. The calculated total energy comes out at -27.08 eV/f.u.

Unit cell a=4.9165 b=4.9165 c=4.9165 alpha=60.00 beta=60.00 gamma=60.00
With the nearest neighbours (Å) after each atom.
Positions (direct):
Mo  0.7500  0.7500  0.7500  12 Li 2.88, 4 Ta 3.01
Ta  0.0000  0.0000  0.0000  12 Li 2.88, 4 Mo 3.01
Li  0.3758  0.8725  0.3758  6 Li 2.44-2.47
Li  0.3758  0.3758  0.3758  6 Li 2.44-2.47
Li  0.3758  0.3758  0.8725  6 Li 2.44-2.47
Li  0.8725  0.3758  0.3758  6 Li 2.44-2.47

# 2
Pr2Sm3ThS6: optimized geometry, PBE.

The crystal system is monoclinic. For the raw formation energy, the calculation gives -1984 meV/atom. The calculated total energy comes out at -79.71 eV/f.u.

Unit cell a=4.0403 b=8.1108 c=9.0512 alpha=103.30 beta=102.90 gamma=90.00
With the nearest neighbours (Å) after each atom.
Positions (direct):
Pr  0.1655  0.3313  0.3309  6 S 2.89-2.90
Pr  0.8345  0.6687  0.6691  6 S 2.89-2.90
Sm  0.1672  0.8349  0.3344  6 S 2.82-2.84
Sm  0.5000  0.5000  0.0000  6 S 2.84-2.85
Sm  0.8328  0.1651  0.6656  6 S 2.82-2.84
S  0.6675  0.0779  0.3350  3 Sm 2.82-2.83, 1 Th 2.87, 2 Pr 2.89
S  0.0028  0.7485  0.0055  3 Sm 2.82-2.85, 2 Th 2.88, 1 Pr 2.89
S  0.3325  0.9221  0.6650  3 Sm 2.82-2.83, 1 Th 2.87, 2 Pr 2.89
S  0.9972  0.2515  0.9945  3 Sm 2.82-2.85, 2 Th 2.88, 1 Pr 2.89
S  0.6656  0.5885  0.3312  3 Sm 2.84, 3 Pr 2.90
S  0.3344  0.4115  0.6688  3 Sm 2.84, 3 Pr 2.90
Th  0.5000  0.0000  0.0000  6 S 2.87-2.88

# 3
ThCdPtAu: optimized geometry, PBE.

The crystal system is cubic. The calculated total energy comes out at -20.52 eV/f.u.

Unit cell a=4.9994 b=4.9994 c=4.9994 alpha=60.00 beta=60.00 gamma=60.00
With the nearest neighbours (Å) after each atom.
Positions (direct):
Au  0.2500  0.2500  0.2500  4 Th 3.06, 4 Cd 3.06
Pt  0.7500  0.7500  0.7500  4 Cd 3.06, 4 Th 3.06
Cd  0.5000  0.5000  0.5000  4 Au 3.06, 4 Pt 3.06
Th  0.0000  0.0000  0.0000  4 Pt 3.06, 4 Au 3.06

# 4
Np2ZnRu4: optimized geometry, PBE.

The crystal system is orthorhombic. The calculated total energy comes out at -64.38 eV/f.u.

Unit cell a=7.3516 b=8.2647 c=9.1713 alpha=154.31 beta=90.00 gamma=90.00
With the nearest neighbours (Å) after each atom.
Positions (direct):
Ru  0.2379  0.2598  0.9998  4 Np 2.68-2.78, 2 Zn 2.77, 4 Ru 2.87
Ru  0.7379  0.2402  0.0002  4 Np 2.68-2.78, 2 Zn 2.77, 4 Ru 2.87
Ru  0.2607  0.0101  0.4999  2 Np 2.48-2.64, 2 Zn 2.66
Ru  0.2621  0.7598  0.9998  4 Np 2.68-2.78, 2 Zn 2.77, 4 Ru 2.87
Ru  0.7393  0.9899  0.5001  2 Np 2.48-2.64, 2 Zn 2.66
Ru  0.7621  0.7402  0.0002  4 Np 2.68-2.78, 2 Zn 2.77, 4 Ru 2.87
Ru  0.7607  0.4899  0.5001  2 Np 2.48-2.64, 2 Zn 2.66
Ru  0.2393  0.5101  0.4999  2 Np 2.48-2.64, 2 Zn 2.66
Np  0.5042  0.2944  0.4999  4 Ru 2.48-2.68
Np  0.4958  0.7056  0.5001  4 Ru 2.48-2.68
Np  0.9958  0.7944  0.4999  4 Ru 2.48-2.68
Np  0.0042  0.2056  0.5001  4 Ru 2.48-2.68
Zn  0.0000  0.0000  0.0000  8 Ru 2.66-2.77
Zn  0.5000  0.5000  0.0000  8 Ru 2.66-2.77

# 5
AcMoN2: optimized geometry, PBE.

As for the relative energy among the computed polymorphs: 0.000 eV/f.u. The crystal system is tetragonal. For the raw formation energy, the calculation gives -884 meV/atom. The calculated total energy comes out at -35.13 eV/f.u.

Unit cell a=3.7256 b=5.7957 c=5.7957 alpha=90.00 beta=90.00 gamma=90.00
With the nearest neighbours (Å) after each atom.
Positions (direct):
Mo  0.5000  0.0000  0.5000  4 N 2.05
Mo  0.5000  0.5000  0.0000  4 N 2.05
Ac  0.0000  0.0000  0.0000  8 N 2.77
Ac  0.0000  0.5000  0.5000  8 N 2.77
N  0.5002  0.2500  0.7500  2 Mo 2.05
N  0.4998  0.7500  0.2500  2 Mo 2.05
N  0.5000  0.2500  0.2500  2 Mo 2.05
N  0.5000  0.7500  0.7500  2 Mo 2.05

# 6
KLaSn2: optimized geometry, PBE.

As for the relative energy among the computed polymorphs: 0.000 eV/f.u. The crystal system is tetragonal. The calculated total energy comes out at -15.77 eV/f.u.

Unit cell a=4.3040 b=4.3040 c=7.8142 alpha=90.00 beta=90.00 gamma=90.00
With the nearest neighbours (Å) after each atom.
Positions (direct):
K  0.5000  0.5000  0.5000  8 Sn 3.90, 2 La 3.91, 4 K 4.30
La  0.5000  0.5000  0.0000  8 Sn 3.38
Sn  0.0000  0.0000  0.1874  1 Sn 2.93
Sn  0.0000  0.0000  0.8126  1 Sn 2.93

# 7
Sr2ZnRu: optimized geometry, PBE.

The crystal system is trigonal. The calculated total energy comes out at -11.95 eV/f.u.

Unit cell a=9.5083 b=9.5083 c=9.5083 alpha=23.14 beta=23.14 gamma=23.14
With the nearest neighbours (Å) after each atom.
Positions (direct):
Ru  0.7500  0.7500  0.7500  6 Sr 3.00
Sr  0.0101  0.0101  0.0101  3 Ru 3.00
Sr  0.4899  0.4899  0.4899  3 Ru 3.00
Zn  0.2500  0.2500  0.2500  6 Sr 3.40

# 8
LiIn2IrO6: optimized geometry, PBE.

The crystal system is trigonal. For the raw formation energy, the calculation gives -1280 meV/atom. The calculated total energy comes out at -58.80 eV/f.u.

Unit cell a=5.4177 b=5.4176 c=5.7358 alpha=61.83 beta=61.82 gamma=59.99
With the nearest neighbours (Å) after each atom.
Positions (direct):
O  0.1182  0.4231  0.7663  1 Ir 2.00, 1 Li 2.04, 1 In 2.15
O  0.5810  0.2181  0.2425  1 Ir 1.98, 1 In 2.16
O  0.2183  0.9584  0.2423  1 Ir 1.98, 1 In 2.16
O  0.4231  0.6924  0.7663  1 Ir 2.00, 1 Li 2.04, 1 In 2.15
O  0.6925  0.1182  0.7661  1 Ir 2.00, 1 Li 2.04, 1 In 2.15
O  0.9584  0.5811  0.2425  1 Ir 1.98, 1 In 2.16
In  0.5296  0.5295  0.4113  6 O 2.16-2.31
In  0.0205  0.0206  0.9383  6 O 2.15-2.27
Ir  0.3237  0.3238  0.0287  6 O 1.98-2.00
Li  0.7962  0.7962  0.6110  3 O 2.04

- Which value of calculated total energy does entry 1 give?
  -27.08 eV/f.u.

- Which of these has the lowest calculated total energy?
  Pr2Sm3ThS6